(1)
GaTeRh: relaxed, PBE.

Cell lengths 6.3089, 6.3089, 6.3089 Å; angles 90.00, 90.00, 90.00 degrees
Closest atoms and distances in Å follow each position.
Atoms (fractional coordinates):
Rh: 0.9951 0.5049 0.4951  3 Ga 2.58, 3 Te 2.63
Rh: 0.4951 0.9951 0.5049  3 Ga 2.58, 3 Te 2.63
Te: 0.8662 0.1338 0.6338  3 Rh 2.63, 1 Ga 2.86
Te: 0.6338 0.8662 0.1338  3 Rh 2.63, 1 Ga 2.86
Ga: 0.8725 0.3725 0.1275  3 Rh 2.58, 1 Te 2.86
Te: 0.1338 0.6338 0.8662  3 Rh 2.63, 1 Ga 2.86
Ga: 0.1275 0.8725 0.3725  3 Rh 2.58, 1 Te 2.86
Rh: 0.0049 0.0049 0.0049  3 Ga 2.58, 3 Te 2.63
Ga: 0.6275 0.6275 0.6275  3 Rh 2.58, 1 Te 2.86
Te: 0.3662 0.3662 0.3662  3 Rh 2.63, 1 Ga 2.86
Rh: 0.5049 0.4951 0.9951  3 Ga 2.58, 3 Te 2.63
Ga: 0.3725 0.1275 0.8725  3 Rh 2.58, 1 Te 2.86

## Properties
Formation energy (no corrections)   -24 kJ per mole of atoms
ΔE to the lowest computed polymorph   90 meV/atom
Symmetry   No. 198



(2)
GaTeRh: relaxed, PBE.

Cell lengths 4.4194, 4.4194, 4.4194 Å; angles 60.00, 60.00, 60.00 degrees
Closest atoms and distances in Å follow each position.
Atoms (fractional coordinates):
Te: 0.0000 0.0000 0.0000  4 Rh 2.71
Ga: 0.5000 0.5000 0.5000  4 Rh 2.71
Rh: 0.2500 0.2500 0.2500  4 Te 2.71, 4 Ga 2.71

## Properties
Formation energy (no corrections)   -33 kJ per mole of atoms
ΔE to the lowest computed polymorph   0 meV/atom
Symmetry   No. 216



(3)
GaTeRh2: relaxed, PBE.

Cell lengths 4.2241, 4.2241, 8.8568 Å; angles 76.20, 76.20, 90.00 degrees
Closest atoms and distances in Å follow each position.
Atoms (fractional coordinates):
Rh: 0.1282 0.6250 0.2500  2 Ga 2.56, 2 Te 2.57
Ga: 0.2500 0.7500 0.5000  4 Rh 2.56
Rh: 0.3750 0.3782 0.7500  2 Ga 2.56, 2 Te 2.57
Rh: 0.6218 0.1250 0.2500  2 Ga 2.56, 2 Te 2.57
Te: 0.7500 0.2500 0.5000  4 Rh 2.57
Ga: 0.5000 0.5000 0.0000  4 Rh 2.56
Rh: 0.8750 0.8718 0.7500  2 Ga 2.56, 2 Te 2.57
Te: 0.0000 0.0000 0.0000  4 Rh 2.57

## Properties
Formation energy (no corrections)   -12 kJ per mole of atoms
ΔE to the lowest computed polymorph   53 meV/atom
Symmetry   No. 122



(4)
GaTeRh2: relaxed, PBE.

Cell lengths 4.5280, 4.5280, 4.5280 Å; angles 60.00, 60.00, 60.00 degrees
Closest atoms and distances in Å follow each position.
Atoms (fractional coordinates):
Ga: 0.0000 0.0000 0.0000  8 Rh 2.77
Rh: 0.7500 0.7500 0.7500  4 Ga 2.77, 4 Te 2.77
Rh: 0.2500 0.2500 0.2500  4 Te 2.77, 4 Ga 2.77
Te: 0.5000 0.5000 0.5000  8 Rh 2.77

## Properties
Formation energy (no corrections)   -17 kJ per mole of atoms
ΔE to the lowest computed polymorph   0 meV/atom
Symmetry   No. 225



The highest ΔE to the lowest computed polymorph belongs to which entry? number 1